This record from Alexandria via LeMat-Bulk describes crystalline Tl6AgPd5 at its relaxed geometry. The functional is PBE. Values from VASP.

Quantum ESPRESSO input file:
```
&SYSTEM
  ibrav = 0, nat = 12, ntyp = 3
/
ATOMIC_SPECIES
Tl 204.38 Tl.upf
Ag 107.87 Ag.upf
Pd 106.42 Pd.upf
ATOMIC_POSITIONS crystal
Tl 0.7434 0.0852 0.3415
Tl 0.2566 0.5732 0.3415
Tl 0.2389 0.2608 0.0000
Tl 0.7611 0.7392 0.0000
Tl 0.7434 0.4268 0.6585
Tl 0.2566 0.9148 0.6585
Ag 0.0000 0.0000 0.0000
Pd 0.5000 0.1584 0.6833
Pd 0.0000 0.3327 0.3345
Pd 0.5000 0.5000 0.0000
Pd 0.0000 0.6673 0.6655
Pd 0.5000 0.8416 0.3167
CELL_PARAMETERS angstrom
4.7257 0.9778 0.0000
3.1257 7.8419 0.0000
1.5629 3.9209 7.0679
```

Values from the calculation:
As for the magnetic moment: 0.0 μB/f.u. The density of states at the Fermi level comes out at 0.50 states/eV/atom. Its formation energy is -0.047 eV/atom. As for the crystal system: monoclinic.